Material: ScZn2Re
Method: DFT, PBE-GGA
State: optimized geometry

Cell: 5.0821 5.0821 5.0821 Å, 139.54 130.75 65.57°
Last column: nearest neighbours and their distance in Å.
Element x y z (fractional)
Sc 0.0000 0.0000 0.0000  8 Zn 2.75-2.93, 4 Re 2.82-2.96
Zn 0.2622 0.7622 0.5000  2 Zn 2.64, 4 Re 2.76, 4 Sc 2.85-2.93
Zn 0.4923 0.4923 0.0000  2 Zn 2.64, 4 Sc 2.75, 2 Re 2.76
Re 0.7414 0.2414 0.5000  8 Zn 2.76-3.01, 4 Sc 2.82-2.96

Calculated formation energy, meV/atom: 34